(1)
This record from Alexandria via LeMat-Bulk describes a relaxed ZnSnP2 crystal. The functional is PBEsol.

```
ZnSnP2
1.0
5.6201 0.0000 0.0000
0.0000 5.6201 0.0000
-2.8101 -2.8101 5.6336
P Zn Sn
4 2 2
Direct
0.3991 0.8750 0.2500
0.8509 0.3750 0.2500
0.1250 0.1491 0.7500
0.6250 0.6009 0.7500
0.7500 0.2500 0.5000
0.5000 0.5000 0.0000
0.2500 0.7500 0.5000
0.0000 0.0000 0.0000
```

Properties
E above lowest polymorph ... 0 meV/atom
Calculated density ... 4.6 g/cm3
Calculated volume ... 22.2 Å³ per atom
Total magnetization ... 0.00 μB/f.u.
Energy of formation from the pure elements ... -3.75 kcal/mol of atoms



(2)
This record from Alexandria via LeMat-Bulk describes a relaxed SrP crystal. The functional is PBEsol.

```
SrP
1.0
4.2465 0.0000 0.0000
0.0000 4.5110 0.0152
-2.1232 -0.8913 5.3326
P Sr
2 2
Direct
0.4141 0.3211 0.8281
0.5859 0.6789 0.1719
0.1311 0.2347 0.2623
0.8689 0.7653 0.7377
```

Properties
Calculated density ... 3.9 g/cm3
Calculated volume ... 25.6 Å³ per atom
Total magnetization ... 0.00 μB/f.u.
Energy of formation from the pure elements ... -22.50 kcal/mol of atoms



(3)
This record from Alexandria via LeMat-Bulk describes a relaxed Sr3P crystal. The functional is PBEsol.

```
Sr3P
1.0
4.0147 0.0000 0.0000
0.0000 7.1549 0.0000
-2.0073 -3.5775 5.8676
P Sr
1 3
Direct
0.0000 0.9564 0.0000
0.5000 0.6517 0.0000
0.3355 0.9482 0.6711
0.6645 0.2771 0.3289
```

Properties
E above lowest polymorph ... 58 meV/atom
Calculated density ... 2.9 g/cm3
Calculated volume ... 42.1 Å³ per atom
Total magnetization ... 0.00 μB/f.u.
Energy of formation from the pure elements ... -12.37 kcal/mol of atoms



(4)
This record from Alexandria via LeMat-Bulk describes a relaxed SrP2 crystal. The functional is PBEsol.

```
SrP2
1.0
4.7802 0.0000 0.0000
2.3901 4.1398 0.0000
2.3901 1.3799 3.9030
Sr P
1 2
Direct
0.0000 0.0000 0.0000
0.7500 0.7500 0.7500
0.2500 0.2500 0.2500
```

Properties
Calculated density ... 3.2 g/cm3
Calculated volume ... 25.7 Å³ per atom
Total magnetization ... 0.00 μB/f.u.
Energy of formation from the pure elements ... 5.47 kcal/mol of atoms



(5)
This record from Alexandria via LeMat-Bulk describes a relaxed SrP crystal. The functional is PBEsol.

```
SrP
1.0
3.6711 0.0000 0.0000
0.0000 3.6711 0.0000
0.0000 0.0000 3.6711
Sr P
1 1
Direct
0.5000 0.5000 0.5000
0.0000 0.0000 0.0000
```

Properties
Calculated density ... 4.0 g/cm3
Calculated volume ... 24.7 Å³ per atom
Total magnetization ... 0.00 μB/f.u.
Energy of formation from the pure elements ... -16.18 kcal/mol of atoms



(6)
This record from Alexandria via LeMat-Bulk describes a relaxed SrP3 crystal. The functional is PBEsol.

```
SrP3
1.0
-5.1548 1.6055 -1.4546
-0.6217 -0.8671 -5.7277
-0.3327 -5.3776 2.2173
Sr P
2 6
Direct
0.3495 0.3370 0.6630
0.6505 0.6630 0.3370
0.1815 0.8808 0.6022
0.8185 0.1192 0.3978
0.8029 0.9913 0.0087
0.1971 0.0087 0.9913
0.1815 0.3978 0.1192
0.8185 0.6022 0.8808
```

Properties
Calculated density ... 3.5 g/cm3
Calculated volume ... 21.2 Å³ per atom
Total magnetization ... 0.00 μB/f.u.
Energy of formation from the pure elements ... -15.25 kcal/mol of atoms



(7)
This record from Alexandria via LeMat-Bulk describes a relaxed Sr3P crystal. The functional is PBEsol.

```
Sr3P
1.0
7.0519 0.0000 0.0000
0.0000 7.8219 0.0000
0.0000 0.0000 10.9595
P Sr
4 12
Direct
0.5677 0.8820 0.7500
0.0677 0.6180 0.2500
0.9323 0.3820 0.7500
0.4323 0.1180 0.2500
0.1760 0.0547 0.7500
0.6760 0.4453 0.2500
0.3240 0.5547 0.7500
0.8240 0.9453 0.2500
0.6863 0.1709 0.9218
0.1863 0.3291 0.0782
0.8137 0.6709 0.5782
0.3137 0.8291 0.4218
0.3137 0.8291 0.0782
0.8137 0.6709 0.9218
0.1863 0.3291 0.4218
0.6863 0.1709 0.5782
```

Properties
E above lowest polymorph ... 20 meV/atom
Calculated density ... 3.2 g/cm3
Calculated volume ... 37.8 Å³ per atom
Total magnetization ... 0.03 μB/f.u.
Energy of formation from the pure elements ... -13.25 kcal/mol of atoms



(8)
This record from Alexandria via LeMat-Bulk describes a relaxed SrP3 crystal. The functional is PBEsol.

```
SrP3
1.0
-0.9355 5.2712 -0.2854
-3.2625 -0.8051 -4.1773
-4.1501 -0.5552 3.3482
P Sr
6 2
Direct
0.7500 0.5000 0.0000
0.2500 0.5000 0.0000
0.0000 0.7500 0.5000
0.0000 0.2500 0.5000
0.5000 0.0000 0.2500
0.5000 0.0000 0.7500
0.0000 0.0000 0.0000
0.5000 0.5000 0.5000
```

Properties
Calculated density ... 3.9 g/cm3
Calculated volume ... 19.3 Å³ per atom
Total magnetization ... 0.00 μB/f.u.
Energy of formation from the pure elements ... 3.40 kcal/mol of atoms



(9)
This record from Alexandria via LeMat-Bulk describes a relaxed SrP2 crystal. The functional is PBEsol.

```
SrP2
1.0
-3.9911 -1.0512 0.6944
1.5347 -0.0670 -3.8931
1.1643 -4.0713 0.5291
Sr P
1 2
Direct
0.0000 0.0000 0.0000
0.3333 0.6667 0.4682
0.6667 0.3333 0.5318
```

Properties
Calculated density ... 3.8 g/cm3
Calculated volume ... 21.6 Å³ per atom
Total magnetization ... 0.00 μB/f.u.
Energy of formation from the pure elements ... -14.66 kcal/mol of atoms



(10)
This record from Alexandria via LeMat-Bulk describes a relaxed SrP3 crystal. The functional is PBEsol.

```
SrP3
1.0
5.8852 0.0000 0.0000
-2.9426 5.0967 0.0000
0.0000 0.0000 6.1695
P Sr
6 2
Direct
0.1237 0.8763 0.7500
0.7526 0.8763 0.7500
0.1237 0.2474 0.7500
0.8763 0.1237 0.2500
0.2474 0.1237 0.2500
0.8763 0.7526 0.2500
0.6667 0.3333 0.7500
0.3333 0.6667 0.2500
```

Properties
Calculated density ... 3.2 g/cm3
Calculated volume ... 23.1 Å³ per atom
Total magnetization ... 0.00 μB/f.u.
Energy of formation from the pure elements ... -5.13 kcal/mol of atoms



(11)
This record from Alexandria via LeMat-Bulk describes a relaxed SrP3 crystal. The functional is PBEsol.

```
SrP3
1.0
3.4476 0.0000 0.0000
0.0000 3.8186 0.0000
0.0000 0.0000 5.7980
P Sr
3 1
Direct
0.5000 0.5000 0.6842
0.0000 0.0000 0.5000
0.5000 0.5000 0.3158
0.0000 0.0000 0.0000
```

Properties
Calculated density ... 3.9 g/cm3
Calculated volume ... 19.1 Å³ per atom
Total magnetization ... 0.00 μB/f.u.
Energy of formation from the pure elements ... -2.84 kcal/mol of atoms



(12)
This record from Alexandria via LeMat-Bulk describes a relaxed SrP2 crystal. The functional is PBEsol.

```
SrP2
1.0
6.0646 -0.0069 0.0000
-1.6729 5.9295 0.0000
0.0000 0.0000 11.7178
Sr P
6 12
Direct
0.1030 0.3171 0.8313
0.3970 0.1829 0.3313
0.8970 0.6829 0.1687
0.6030 0.8171 0.6687
0.0000 0.5000 0.5000
0.5000 0.0000 0.0000
0.3607 0.2953 0.5973
0.1393 0.2047 0.0973
0.6393 0.7047 0.4027
0.8607 0.7953 0.9027
0.6386 0.4443 0.8737
0.8614 0.0557 0.3737
0.3614 0.5557 0.1263
0.1386 0.9443 0.6263
0.6746 0.3367 0.6971
0.8254 0.1633 0.1971
0.3254 0.6633 0.3029
0.1746 0.8367 0.8029
```

Properties
Calculated density ... 3.5 g/cm3
Calculated volume ... 23.4 Å³ per atom
Total magnetization ... 0.00 μB/f.u.
Energy of formation from the pure elements ... -18.46 kcal/mol of atoms



(13)
This record from Alexandria via LeMat-Bulk describes a relaxed Sr3P2 crystal. The functional is PBEsol.

```
Sr3P2
1.0
9.2275 0.0000 0.0000
0.0000 9.2275 0.0000
-4.6137 -4.6137 13.7917
Sr P
24 16
Direct
0.3009 0.1780 0.2193
0.6259 0.3761 0.1296
0.7463 0.3739 0.3704
0.5037 0.7535 0.1296
0.6241 0.9965 0.3704
0.9184 0.0413 0.2193
0.9491 0.7087 0.2807
0.9326 0.8502 0.5376
0.3125 0.0674 0.4624
0.3316 0.5720 0.2807
0.4280 0.0509 0.7193
0.1498 0.3950 0.4624
0.2913 0.6684 0.7193
0.6050 0.6875 0.5376
0.6261 0.3759 0.6296
0.6239 0.4963 0.8704
0.9587 0.6991 0.7807
0.0035 0.2537 0.6296
0.1002 0.6826 0.0376
0.8220 0.0816 0.7807
0.9375 0.3550 0.0376
0.2465 0.3741 0.8704
0.3174 0.0625 0.9624
0.6450 0.8998 0.9624
0.5864 0.0864 0.1728
0.0041 0.3750 0.2500
0.6636 0.6636 0.3272
0.9726 0.0665 0.4245
0.4519 0.3580 0.4245
0.2459 0.8750 0.2500
0.6420 0.0274 0.5755
0.6250 0.7541 0.7500
0.3364 0.3364 0.6728
0.9335 0.5481 0.5755
0.1250 0.9959 0.7500
0.9136 0.4136 0.8272
0.3165 0.7226 0.9245
0.2774 0.3920 0.0755
0.7981 0.6835 0.0755
0.6080 0.2019 0.9245
```

Properties
E above lowest polymorph ... 0 meV/atom
Calculated density ... 3.7 g/cm3
Calculated volume ... 29.4 Å³ per atom
Total magnetization ... 0.00 μB/f.u.
Energy of formation from the pure elements ... -24.38 kcal/mol of atoms



(14)
This record from Alexandria via LeMat-Bulk describes a relaxed Sr3P crystal. The functional is PBEsol.

```
Sr3P
1.0
4.2941 0.0000 0.0000
0.0000 6.0693 0.0000
0.0000 -3.0346 6.8193
Sr P
3 1
Direct
0.5000 0.8514 0.7029
0.0000 0.5000 0.0000
0.5000 0.1486 0.2971
0.0000 0.0000 0.0000
```

Properties
E above lowest polymorph ... 35 meV/atom
Calculated density ... 2.7 g/cm3
Calculated volume ... 44.4 Å³ per atom
Total magnetization ... 0.00 μB/f.u.
Energy of formation from the pure elements ... -12.90 kcal/mol of atoms



(15)
This record from Alexandria via LeMat-Bulk describes a relaxed Sr3P crystal. The functional is PBEsol.

```
Sr3P
1.0
-3.8941 1.9389 0.0699
-2.3004 0.3935 -3.6717
-6.8037 -8.8098 0.7409
Sr P
3 1
Direct
0.7150 0.7150 0.8551
0.5000 0.5000 0.5000
0.2850 0.2850 0.1449
0.0000 0.0000 0.0000
```

Properties
E above lowest polymorph ... 0 meV/atom
Calculated density ... 2.7 g/cm3
Calculated volume ... 44.5 Å³ per atom
Total magnetization ... 0.00 μB/f.u.
Energy of formation from the pure elements ... -13.71 kcal/mol of atoms



(16)
This record from Alexandria via LeMat-Bulk describes a relaxed Sr3P4 crystal. The functional is PBEsol.

```
Sr3P4
1.0
-2.5247 -1.8367 4.8747
-2.0426 -7.3470 -0.3890
6.4163 -3.2178 5.5478
P Sr
8 6
Direct
0.5731 0.6810 0.1562
0.4103 0.3190 0.8438
0.4793 0.1810 0.3438
0.0041 0.8190 0.6562
0.1679 0.1629 0.9979
0.3288 0.8371 0.0021
0.9159 0.6629 0.5021
0.0809 0.3371 0.4979
0.7453 0.0000 0.0000
0.4953 0.5000 0.5000
0.8347 0.4957 0.8363
0.1667 0.5043 0.1637
0.4210 0.9957 0.6637
0.0804 0.0043 0.3363
```

Properties
Calculated density ... 3.7 g/cm3
Calculated volume ... 25.1 Å³ per atom
Total magnetization ... 0.00 μB/f.u.
Energy of formation from the pure elements ... -22.52 kcal/mol of atoms



(17)
This record from Alexandria via LeMat-Bulk describes a relaxed SrP crystal. The functional is PBEsol.

```
SrP
1.0
-0.5129 -5.3875 -2.4991
5.2483 -2.9439 5.2692
-7.8172 -0.0410 1.6927
Sr P
6 6
Direct
0.0000 0.6405 0.0000
0.0000 0.3595 0.3595
0.0000 0.0000 0.6405
0.5000 0.3054 0.0000
0.5000 0.6946 0.6946
0.5000 0.0000 0.3054
0.3067 0.3333 0.6667
0.6933 0.3333 0.6667
0.6933 0.6667 0.3333
0.3067 0.6667 0.3333
0.8119 0.0000 0.0000
0.1881 0.0000 0.0000
```

Properties
Calculated density ... 3.6 g/cm3
Calculated volume ... 27.5 Å³ per atom
Total magnetization ... 0.00 μB/f.u.
Energy of formation from the pure elements ... -24.33 kcal/mol of atoms



(18)
This record from Alexandria via LeMat-Bulk describes a relaxed Sr3P2 crystal. The functional is PBEsol.

```
Sr3P2
1.0
5.6001 0.0000 0.0000
0.0000 5.6001 0.0000
0.0000 0.0000 5.6001
Sr P
3 2
Direct
0.0000 0.5000 0.5000
0.5000 0.0000 0.5000
0.5000 0.5000 0.0000
0.0000 0.0000 0.0000
0.5000 0.5000 0.5000
```

Properties
E above lowest polymorph ... 436 meV/atom
Calculated density ... 3.1 g/cm3
Calculated volume ... 35.1 Å³ per atom
Total magnetization ... 0.00 μB/f.u.
Energy of formation from the pure elements ... -14.32 kcal/mol of atoms



(19)
This record from Alexandria via LeMat-Bulk describes a relaxed SrTaP2 crystal. The functional is PBEsol.

```
SrTaP2
1.0
3.3563 0.0000 0.0000
0.0000 3.5065 0.0000
-1.6782 -1.7533 6.9570
P Sr Ta
2 1 1
Direct
0.9260 0.9260 0.8521
0.7296 0.2296 0.4593
0.5469 0.5469 0.0939
0.2974 0.7974 0.5948
```

Properties
E above lowest polymorph ... 0 meV/atom
Calculated density ... 6.7 g/cm3
Calculated volume ... 20.5 Å³ per atom
Total magnetization ... 0.00 μB/f.u.
Energy of formation from the pure elements ... -15.43 kcal/mol of atoms



(20)
This record from Alexandria via LeMat-Bulk describes a relaxed Sr2TaP crystal. The functional is PBEsol.

```
Sr2TaP
1.0
3.2677 0.0000 0.0000
0.0000 3.1441 0.0000
0.0000 0.0000 9.5418
P Sr Ta
1 2 1
Direct
0.5000 0.5000 0.5000
0.0000 0.0000 0.7163
0.0000 0.0000 0.2837
0.5000 0.5000 0.0000
```

Properties
Calculated density ... 6.6 g/cm3
Calculated volume ... 24.5 Å³ per atom
Total magnetization ... 0.00 μB/f.u.
Energy of formation from the pure elements ... 7.58 kcal/mol of atoms